# Dy3As3W2N12, relaxed, DFT PBE
data_Dy3As3W2N12
_space_group_name_H-M_alt 'I a -3 d'
_space_group_IT_number 230
_space_group_name_Hall '-I 4bd 2c 3'
_cell_length_a 12.430
_cell_length_b 12.430
_cell_length_c 12.430
_cell_angle_alpha 90.00
_cell_angle_beta 90.00
_cell_angle_gamma 90.00
loop_
_atom_site_label
_atom_site_type_symbol
_atom_site_fract_x
_atom_site_fract_y
_atom_site_fract_z
Dy1 Dy 0.000 0.250 0.125
As1 As 0.000 0.250 0.375
W1 W 0.000 0.000 0.000
N1 N 0.034 0.054 0.650
# - Magnetization: 0.01 Bohr magnetons per cell
# - Raw total energy: -163.3 eV/f.u.